# 1
Crystalline CsCd4InPb2 at its relaxed geometry, computed with PBE.

Lattice parameters (Å, degrees): 5.2763 5.2763 11.5606 76.81 76.81 60.00
Closest atoms and distances in Å follow each position.
Positions (direct):
Cd1 0.1329 0.1329 0.6014  4 Pb 3.23-3.34, 3 In 3.25
In1 0.5000 0.5000 0.5000  8 Cd 3.10-3.25
Pb1 0.2327 0.2327 0.3020  7 Cd 3.17-3.34
Pb2 0.7673 0.7673 0.6980  7 Cd 3.17-3.34
Cd2 0.8671 0.8671 0.3986  4 Pb 3.23-3.34, 3 In 3.25
Cd3 0.4075 0.4075 0.7776  1 In 3.10, 3 Pb 3.17
Cd4 0.5925 0.5925 0.2224  1 In 3.10, 3 Pb 3.17
Cs1 0.0000 0.0000 0.0000  6 Cd 3.93

Output
- DOS(E_F) (states/eV per cell) = 4.41
- formation energy from the elements (eV/atom) = 0.017
- symmetry = No. 166

***

# 2
Crystalline CsCdInPb2 at its relaxed geometry, computed with PBE.

Lattice parameters (Å, degrees): 5.3043 5.3043 7.4296 110.91 110.91 90.00
Closest atoms and distances in Å follow each position.
Positions (direct):
Pb1 0.3768 0.3768 0.7535  2 Cd 3.11, 2 In 3.11, 1 Pb 3.16
Cd1 0.2500 0.7500 0.5000  4 Pb 3.11
In1 0.7500 0.2500 0.5000  4 Pb 3.11
Cs1 0.0000 0.0000 0.0000  8 Pb 4.07, 4 Cd 4.16, 4 In 4.16
Pb2 0.6232 0.6232 0.2465  2 In 3.11, 2 Cd 3.11, 1 Pb 3.16

Output
- DOS(E_F) (states/eV per cell) = 1.93
- formation energy from the elements (eV/atom) = -0.089
- symmetry = No. 119

***

# 3
Crystalline Cs2Cd3In4Pb at its relaxed geometry, computed with PBE.

Lattice parameters (Å, degrees): 5.1315 5.1315 12.8758 90.00 90.00 90.00
Closest atoms and distances in Å follow each position.
Positions (direct):
Cd1 0.0000 0.5000 0.1273  5 In 3.03-3.04
In1 0.5000 0.5000 0.0000  4 Cd 3.04
In2 0.0000 0.0000 0.0000  4 Cd 3.04
In3 0.5000 0.0000 0.6371  3 Cd 3.03-3.11, 2 Pb 3.11
Pb1 0.5000 0.5000 0.5000  4 In 3.11
Cs1 0.0000 0.5000 0.7524  8 In 3.92-4.09, 6 Cd 3.95-4.14, 2 Pb 4.14
In4 0.0000 0.5000 0.3629  3 Cd 3.03-3.11, 2 Pb 3.11
Cs2 0.5000 0.0000 0.2476  8 In 3.92-4.09, 6 Cd 3.95-4.14, 2 Pb 4.14
Cd2 0.5000 0.0000 0.8727  5 In 3.03-3.04
Cd3 0.0000 0.0000 0.5000  4 In 3.11

Output
- DOS(E_F) (states/eV per cell) = 6.04
- formation energy from the elements (eV/atom) = -0.077
- symmetry = No. 115

***

# 4
Crystalline CsCdIn4Pb2 at its relaxed geometry, computed with PBE.

Lattice parameters (Å, degrees): 5.4406 5.4406 11.2492 76.01 76.01 60.00
Closest atoms and distances in Å follow each position.
Positions (direct):
Pb1 0.2349 0.2349 0.2952  7 In 3.23-3.35
In1 0.1345 0.1345 0.5965  4 Pb 3.26-3.35, 3 Cd 3.31
In2 0.5914 0.5914 0.2258  1 Cd 2.96, 3 Pb 3.23
In3 0.4086 0.4086 0.7742  1 Cd 2.96, 3 Pb 3.23
Cd1 0.5000 0.5000 0.5000  8 In 2.96-3.31
Pb2 0.7651 0.7651 0.7048  7 In 3.23-3.35
In4 0.8655 0.8655 0.4035  4 Pb 3.26-3.35, 3 Cd 3.31
Cs1 0.0000 0.0000 0.0000  8 In 3.98-4.36

Output
- DOS(E_F) (states/eV per cell) = 4.74
- formation energy from the elements (eV/atom) = -0.017
- symmetry = No. 166

***

# 5
Crystalline Cs2CdInPd at its relaxed geometry, computed with PBE.

Lattice parameters (Å, degrees): 6.7568 6.7568 5.2529 90.00 90.00 90.00
Closest atoms and distances in Å follow each position.
Positions (direct):
Cs1 0.5000 0.0000 0.0000  2 Pd 3.38
Cs2 0.0000 0.5000 0.0000  2 Pd 3.38
In1 0.0000 0.0000 0.5000  2 Pd 2.63
Cd1 0.5000 0.5000 0.5000  8 Cs 4.28, 4 In 4.78
Pd1 0.0000 0.0000 0.0000  2 In 2.63

Output
- DOS(E_F) (states/eV per cell) = 3.38
- formation energy from the elements (eV/atom) = 0.005
- symmetry = No. 123

***

# 6
Crystalline CsCdIn2Pt at its relaxed geometry, computed with PBE.

Lattice parameters (Å, degrees): 5.3226 5.3226 5.4745 90.00 90.00 90.00
Closest atoms and distances in Å follow each position.
Positions (direct):
Cs1 0.5000 0.5000 0.5000  4 Cd 3.76, 8 In 3.82
In1 0.0000 0.5000 0.0000  2 Pt 2.66
Cd1 0.0000 0.0000 0.5000  2 Pt 2.74
Pt1 0.0000 0.0000 0.0000  4 In 2.66, 2 Cd 2.74
In2 0.5000 0.0000 0.0000  2 Pt 2.66

Output
- DOS(E_F) (states/eV per cell) = 2.75
- formation energy from the elements (eV/atom) = -0.230
- symmetry = No. 123

***

# 7
Crystalline Cs2CdInPt at its relaxed geometry, computed with PBE.

Lattice parameters (Å, degrees): 6.7780 6.7780 5.2054 90.00 90.00 90.00
Closest atoms and distances in Å follow each position.
Positions (direct):
Cs1 0.0000 0.5000 0.0000  2 Pt 3.39
Pt1 0.0000 0.0000 0.0000  2 In 2.60
Cs2 0.5000 0.0000 0.0000  2 Pt 3.39
Cd1 0.5000 0.5000 0.5000  8 Cs 4.27
In1 0.0000 0.0000 0.5000  2 Pt 2.60

Output
- DOS(E_F) (states/eV per cell) = 2.88
- formation energy from the elements (eV/atom) = -0.055
- symmetry = No. 123

***

# 8
Crystalline Cs2CdIn12Pt3 at its relaxed geometry, computed with PBE.

Lattice parameters (Å, degrees): 8.9967 8.9967 8.9967 70.19 70.19 70.19
Closest atoms and distances in Å follow each position.
Positions (direct):
Pt1 0.0000 0.0000 0.5000  6 In 2.65-2.71
In1 0.9292 0.2631 0.2631  2 Pt 2.65
In2 0.3596 0.8690 0.8690  1 Pt 2.71, 1 Cd 3.00
In3 0.7369 0.0708 0.7369  2 Pt 2.65
In4 0.0708 0.7369 0.7369  2 Pt 2.65
Pt2 0.0000 0.5000 0.0000  6 In 2.65-2.71
In5 0.6404 0.1310 0.1310  1 Pt 2.71, 1 Cd 3.00
Cd1 0.0000 0.0000 0.0000  6 In 3.00
In6 0.7369 0.7369 0.0708  2 Pt 2.65
Cs1 0.5961 0.5961 0.5961  3 In 3.69, 1 Cs 3.88
In7 0.2631 0.9292 0.2631  2 Pt 2.65
In8 0.2631 0.2631 0.9292  2 Pt 2.65
Pt3 0.5000 0.0000 0.0000  6 In 2.65-2.71
In9 0.1310 0.1310 0.6404  1 Pt 2.71, 1 Cd 3.00
In10 0.8690 0.3596 0.8690  1 Pt 2.71, 1 Cd 3.00
In11 0.8690 0.8690 0.3596  1 Pt 2.71, 1 Cd 3.00
Cs2 0.4039 0.4039 0.4039  3 In 3.69, 1 Cs 3.88
In12 0.1310 0.6404 0.1310  1 Pt 2.71, 1 Cd 3.00

Output
- DOS(E_F) (states/eV per cell) = 10.57
- formation energy from the elements (eV/atom) = -0.104
- symmetry = No. 166

***

# 9
Crystalline CsCd2InPt at its relaxed geometry, computed with PBE.

Lattice parameters (Å, degrees): 5.4384 5.4384 5.2361 90.00 90.00 90.00
Closest atoms and distances in Å follow each position.
Positions (direct):
Cd1 0.5000 0.0000 0.0000  2 Pt 2.72
Cd2 0.0000 0.5000 0.0000  2 Pt 2.72
In1 0.0000 0.0000 0.5000  2 Pt 2.62
Pt1 0.0000 0.0000 0.0000  2 In 2.62, 4 Cd 2.72
Cs1 0.5000 0.5000 0.5000  8 Cd 3.77, 4 In 3.85

Output
- DOS(E_F) (states/eV per cell) = 1.40
- formation energy from the elements (eV/atom) = -0.265
- symmetry = No. 123

***

# 10
Crystalline CsCdInSb2 at its relaxed geometry, computed with PBE.

Lattice parameters (Å, degrees): 4.7420 4.7420 8.8103 105.61 105.61 90.00
Closest atoms and distances in Å follow each position.
Positions (direct):
In1 0.7500 0.2500 0.5000  4 Sb 2.98
Cs1 0.0000 0.0000 0.0000  8 Sb 4.05
Sb1 0.3608 0.3608 0.7217  2 Cd 2.98, 2 In 2.98
Cd1 0.2500 0.7500 0.5000  4 Sb 2.98
Sb2 0.6392 0.6392 0.2783  2 Cd 2.98, 2 In 2.98

Output
- formation energy (no corrections) (eV per atom) = -0.292
- DOS(E_F) (states/eV per cell) = 1.95
- symmetry = No. 119

***

# 11
Crystalline CsCdInSb at its relaxed geometry, computed with PBE.

Lattice parameters (Å, degrees): 5.1159 5.1159 12.9955 90.00 90.00 90.00
Closest atoms and distances in Å follow each position.
Positions (direct):
Sb1 0.2500 0.2500 0.1241  4 In 3.02
In1 0.7500 0.2500 0.0000  4 Sb 3.02
Sb2 0.7500 0.7500 0.8759  4 In 3.02
Cd1 0.7500 0.2500 0.5000  4 Cd 3.62
Cs1 0.2500 0.2500 0.7429  4 Sb 4.01, 4 Cd 4.06, 4 In 4.21
Cd2 0.2500 0.7500 0.5000  4 Cd 3.62
In2 0.2500 0.7500 0.0000  4 Sb 3.02
Cs2 0.7500 0.7500 0.2571  4 Sb 4.01, 4 Cd 4.06, 4 In 4.21

Output
- formation energy (no corrections) (eV per atom) = -0.165
- DOS(E_F) (states/eV per cell) = 3.34
- symmetry = No. 129

***

# 12
Crystalline Cs2Cd3In4Sn at its relaxed geometry, computed with PBE.

Lattice parameters (Å, degrees): 5.0753 5.0753 12.8821 90.00 90.00 90.00
Closest atoms and distances in Å follow each position.
Positions (direct):
Cd1 0.0000 0.0000 0.5000  4 In 3.06
Cd2 0.0000 0.5000 0.1308  5 In 3.04-3.05
Cd3 0.5000 0.0000 0.8692  5 In 3.04-3.05
In1 0.0000 0.5000 0.3666  3 Cd 3.04-3.06, 2 Sn 3.06
In2 0.0000 0.0000 0.0000  4 Cd 3.05
Sn1 0.5000 0.5000 0.5000  4 In 3.06
In3 0.5000 0.5000 0.0000  4 Cd 3.05
Cs1 0.5000 0.0000 0.2503  8 In 3.89-4.10, 6 Cd 3.91-4.10, 2 Sn 4.10
Cs2 0.0000 0.5000 0.7497  8 In 3.89-4.10, 6 Cd 3.91-4.10, 2 Sn 4.10
In4 0.5000 0.0000 0.6334  3 Cd 3.04-3.06, 2 Sn 3.06

Output
- DOS(E_F) (states/eV per cell) = 6.64
- formation energy from the elements (eV/atom) = -0.086
- symmetry = No. 115

***

Copy entry 11 word for word.
Crystalline CsCdInSb at its relaxed geometry, computed with PBE.

Lattice parameters (Å, degrees): 5.1159 5.1159 12.9955 90.00 90.00 90.00
Closest atoms and distances in Å follow each position.
Positions (direct):
Sb1 0.2500 0.2500 0.1241  4 In 3.02
In1 0.7500 0.2500 0.0000  4 Sb 3.02
Sb2 0.7500 0.7500 0.8759  4 In 3.02
Cd1 0.7500 0.2500 0.5000  4 Cd 3.62
Cs1 0.2500 0.2500 0.7429  4 Sb 4.01, 4 Cd 4.06, 4 In 4.21
Cd2 0.2500 0.7500 0.5000  4 Cd 3.62
In2 0.2500 0.7500 0.0000  4 Sb 3.02
Cs2 0.7500 0.7500 0.2571  4 Sb 4.01, 4 Cd 4.06, 4 In 4.21

Output
- formation energy (no corrections) (eV per atom) = -0.165
- DOS(E_F) (states/eV per cell) = 3.34
- symmetry = No. 129

***

Question: The highest DOS(E_F) belongs to which entry?
Answer: Cs2CdIn12Pt3

***

Question: Which value of DOS(E_F) does entry 8 give?
Answer: 10.57 states/eV per cell

***

Question: Which formula does entry 1 have?
Answer: CsCd4InPb2